# 1
The following is a GGA-PBE calculation of a relaxed Cd2OsAu crystal, from the Alexandria database.

Lattice parameters (Å, degrees): 9.714 9.714 9.714 17.38 17.38 17.38
Fractional positions:
Os: 0.250 0.250 0.250
Au: 0.750 0.750 0.750
Cd: 0.502 0.502 0.502
Cd: 0.998 0.998 0.998

Computed properties:
The value obtained for the energy above the lowest structure with this stoichiometry is 0.0000 eV/atom. The symmetry is R-3m (166). For the calculated formation energy, the calculation gives 321 meV per atom. The total magnetic moment is 0.000 μB per atom.

***

# 2
The following is a GGA-PBE calculation of a relaxed Cd2OsAu2 crystal, from the Alexandria database.

Lattice parameters (Å, degrees): 7.350 7.350 7.350 149.72 149.72 43.35
Site moments in Bohr magnetons follow the coordinates.
Fractional positions:
Cd: 0.250 0.750 0.500  0.00
Cd: 0.750 0.250 0.500  0.00
Au: 0.596 0.596 0.000  0.06
Au: 0.404 0.404 0.000  0.06
Os: 0.000 0.000 0.000  2.18

Computed properties:
The symmetry is I4/mmm (139). For the calculated formation energy, the calculation gives 834 meV per atom. The total magnetic moment is 0.490 μB per atom.

***

# 3
The following is a GGA-PBE calculation of a relaxed Cd2OsAu crystal, from the Alexandria database.

Lattice parameters (Å, degrees): 3.413 3.413 6.209 90.00 90.00 90.00
Fractional positions:
Cd: 0.000 0.000 0.011
Cd: 0.000 0.000 0.489
Au: 0.500 0.500 0.750
Os: 0.500 0.500 0.250

Computed properties:
The value obtained for the energy above the lowest structure with this stoichiometry is 0.1391 eV/atom. The symmetry is P4/mmm (123). For the calculated formation energy, the calculation gives 460 meV per atom. The total magnetic moment is 0.000 μB per atom.

***

# 4
The following is a GGA-PBE calculation of a relaxed CdOs2Au crystal, from the Alexandria database.

Lattice parameters (Å, degrees): 2.852 2.852 8.204 90.00 90.00 90.00
Fractional positions:
Os: 0.500 0.500 0.225
Os: 0.000 0.000 0.028
Cd: 0.500 0.500 0.762
Au: 0.000 0.000 0.485

Computed properties:
The symmetry is P4mm (99). For the calculated formation energy, the calculation gives 226 meV per atom. The total magnetic moment is 0.000 μB per atom.

***

# 5
The following is a GGA-PBE calculation of a relaxed CdOs2Au crystal, from the Alexandria database.

Lattice parameters (Å, degrees): 4.833 4.833 4.833 129.74 129.74 73.82
Fractional positions:
Au: 0.500 0.500 0.000
Os: 0.250 0.750 0.500
Os: 0.000 0.000 0.000
Cd: 0.750 0.250 0.500

Computed properties:
The symmetry is I-4m2 (119). For the calculated formation energy, the calculation gives 704 meV per atom. The total magnetic moment is 0.000 μB per atom.

***

# 6
The following is a GGA-PBE calculation of a relaxed CdOs2Au crystal, from the Alexandria database.

Lattice parameters (Å, degrees): 5.697 5.697 2.760 76.02 76.02 121.48
Fractional positions:
Os: 0.000 0.000 0.000
Os: 0.500 0.500 0.000
Cd: 0.000 0.500 0.500
Au: 0.500 0.000 0.500

Computed properties:
The symmetry is C2/m (12). For the calculated formation energy, the calculation gives 697 meV per atom. The total magnetic moment is 0.001 μB per atom.

***

# 7
The following is a GGA-PBE calculation of a relaxed Cd2OsAu crystal, from the Alexandria database.

Lattice parameters (Å, degrees): 2.943 5.140 5.781 55.01 90.00 90.00
Site moments in Bohr magnetons follow the coordinates.
Fractional positions:
Cd: 0.000 0.000 0.000  -0.01
Cd: 0.500 0.500 0.000  0.00
Os: 0.500 0.500 0.500  0.55
Au: 0.000 0.000 0.500  -0.01

Computed properties:
The value obtained for the energy above the lowest structure with this stoichiometry is 0.0958 eV/atom. The symmetry is P2/m (10). For the calculated formation energy, the calculation gives 417 meV per atom. The total magnetic moment is 0.141 μB per atom.

***

# 8
The following is a GGA-PBE calculation of a relaxed CdOs2Au crystal, from the Alexandria database.

Lattice parameters (Å, degrees): 4.541 4.541 4.541 60.00 60.00 60.00
Fractional positions:
Os: 0.250 0.250 0.250
Os: 0.000 0.000 0.000
Au: 0.500 0.500 0.500
Cd: 0.750 0.750 0.750

Computed properties:
The symmetry is F-43m (216). For the calculated formation energy, the calculation gives 801 meV per atom. The total magnetic moment is 0.000 μB per atom.